(P)
Compound: Mn3ReH
Source: Alexandria via LeMat-Bulk
Functional: GGA-PBE
Structure: optimized geometry

Computed properties:
Calculated density (g/cm³): 11.8
N(E_F) (states/eV/f.u.): 2.9
V (Å³ per cell): 99
Crystal system: triclinic

Lattice parameters (Å, degrees): 4.931 4.993 5.180 105.36 105.10 116.11
Space group P-1 (No. 2)
Symmetry-distinct sites (fractional):
1 Mn 0.200 0.472 0.168
2 Mn 0.202 0.460 0.666
3 Mn 0.293 0.033 0.330
4 Re 0.271 0.023 0.819
5 H 0.500 0.500 0.000
6 H 0.500 0.500 0.500

***

(Q)
Compound: Mn3ReH
Source: Alexandria via LeMat-Bulk
Functional: GGA-PBE
Structure: optimized geometry

Computed properties:
Calculated density (g/cm³): 11.8
N(E_F) (states/eV/f.u.): 3.8
V (Å³ per cell): 50
Crystal system: cubic

Lattice parameters (Å, degrees): 3.676 3.676 3.676 90.00 90.00 90.00
Space group Pm-3m (No. 221)
Symmetry-distinct sites (fractional):
1 Mn 0.000 0.000 0.500
2 Re 0.500 0.500 0.500
3 H 0.000 0.000 0.000

***

What should be chosen as the least stable of them? Choose (Q).

***

(P)
Compound: Mn3ReH
Source: Alexandria via LeMat-Bulk
Functional: GGA-PBE
Structure: optimized geometry

Computed properties:
Calculated density (g/cm³): 11.4
N(E_F) (states/eV/f.u.): 5.4
V (Å³ per cell): 205
Crystal system: monoclinic

Lattice parameters (Å, degrees): 5.993 4.539 9.133 90.00 124.57 90.00
Space group P2_1/c (No. 14)
Symmetry-distinct sites (fractional):
1 Mn 0.039 0.234 0.078
2 Mn 0.135 0.727 0.250
3 Mn 0.448 0.539 0.712
4 Re 0.359 0.237 0.448
5 H 0.227 0.575 0.111

***

(Q)
Compound: Mn3ReH
Source: Alexandria via LeMat-Bulk
Functional: GGA-PBE
Structure: optimized geometry

Computed properties:
Calculated density (g/cm³): 11.2
N(E_F) (states/eV/f.u.): 3.6
V (Å³ per cell): 104
Crystal system: orthorhombic

Lattice parameters (Å, degrees): 2.637 5.279 7.482 90.00 90.00 90.00
Space group Amm2 (No. 38)
Symmetry-distinct sites (fractional):
1 Mn 0.000 0.000 0.000
2 Mn 0.500 0.241 0.224
3 Re 0.000 0.000 0.477
4 H 0.500 0.000 0.855

***

What should be chosen as the least stable of them? Choose (P).

***

(P)
Compound: Mn3ReH
Source: Alexandria via LeMat-Bulk
Functional: GGA-PBE
Structure: optimized geometry

Computed properties:
Calculated density (g/cm³): 11.6
N(E_F) (states/eV/f.u.): 4.7
V (Å³ per cell): 201
Crystal system: monoclinic

Lattice parameters (Å, degrees): 8.267 3.682 7.400 90.00 116.56 90.00
Space group C2/m (No. 12)
Symmetry-distinct sites (fractional):
1 Mn 0.126 0.000 0.192
2 Mn 0.127 0.000 0.686
3 Mn 0.127 0.500 0.442
4 Re 0.120 0.500 0.929
5 H 0.124 0.000 0.436

***

(Q)
Compound: Mn3ReH
Source: Alexandria via LeMat-Bulk
Functional: GGA-PBE
Structure: optimized geometry

Computed properties:
Calculated density (g/cm³): 11.7
N(E_F) (states/eV/f.u.): 3.5
V (Å³ per cell): 100
Crystal system: triclinic

Lattice parameters (Å, degrees): 4.558 4.963 5.226 105.25 90.17 117.29
Space group P1 (No. 1)
Symmetry-distinct sites (fractional):
1 Mn 0.000 0.000 0.000
2 Mn 0.001 0.015 0.515
3 Mn 0.085 0.531 0.883
4 Mn 0.483 0.008 0.254
5 Mn 0.484 0.999 0.757
6 Mn 0.575 0.521 0.638
7 Re 0.086 0.528 0.393
8 Re 0.576 0.528 0.126
9 H 0.764 0.246 0.578
10 H 0.781 0.233 0.051

***

(R)
Compound: Mn3ReH
Source: Alexandria via LeMat-Bulk
Functional: GGA-PBE
Structure: optimized geometry

Computed properties:
Calculated density (g/cm³): 11.2
N(E_F) (states/eV/f.u.): 4.3
V (Å³ per cell): 314
Crystal system: trigonal

Lattice parameters (Å, degrees): 6.7504 6.7504 7.9571 90.00 90.00 120.00
Space group R-3c (No. 167, hexagonal axes)
Symmetry-distinct sites (fractional):
1 Mn 0.0000 0.2637 0.2500
2 Re 0.0000 0.0000 0.0000
3 H 0.0000 0.0000 0.2500

***

What should be chosen as the least stable of them? Choose (R).

***

(P)
Compound: MnReH3
Source: Alexandria via LeMat-Bulk
Functional: GGA-PBE
Structure: optimized geometry

Computed properties:
Calculated density (g/cm³): 12.1
N(E_F) (states/eV/f.u.): 2.9
V (Å³ per cell): 34
Crystal system: cubic

Lattice parameters (Å, degrees): 3.228 3.228 3.228 90.00 90.00 90.00
Space group Pm-3m (No. 221)
Symmetry-distinct sites (fractional):
1 Mn 0.000 0.000 0.000
2 Re 0.500 0.500 0.500
3 H 0.000 0.000 0.500

***

(Q)
Compound: MnReH3
Source: Alexandria via LeMat-Bulk
Functional: GGA-PBE
Structure: optimized geometry

Computed properties:
Calculated density (g/cm³): 9.6
N(E_F) (states/eV/f.u.): 1.2
V (Å³ per cell): 42
Crystal system: cubic

Lattice parameters (Å, degrees): 3.487 3.487 3.487 90.00 90.00 90.00
Space group Pm-3m (No. 221)
Symmetry-distinct sites (fractional):
1 Mn 0.000 0.000 0.000
2 Re 0.500 0.500 0.500
3 H 0.000 0.500 0.500

***

What should be chosen as the least stable of them? Choose (P).

***

(P)
Compound: TaMn2ReH
Source: Alexandria via LeMat-Bulk
Functional: GGA-PBE
Structure: optimized geometry

Computed properties:
Calculated density (g/cm³): 13.5
N(E_F) (states/eV/f.u.): 2.4
V (Å³ per cell): 59
Crystal system: tetragonal

Lattice parameters (Å, degrees): 3.753 3.753 4.173 90.00 90.00 90.00
Space group P4/mmm (No. 123)
Symmetry-distinct sites (fractional):
1 Ta 0.000 0.000 0.000
2 Mn 0.000 0.500 0.500
3 Re 0.500 0.500 0.000
4 H 0.000 0.000 0.500

***

(Q)
Compound: TaMn2ReH
Source: Alexandria via LeMat-Bulk
Functional: GGA-PBE
Structure: optimized geometry

Computed properties:
Calculated density (g/cm³): 13.9
N(E_F) (states/eV/f.u.): 6.4
V (Å³ per cell): 57
Crystal system: tetragonal

Lattice parameters (Å, degrees): 3.830 3.830 3.893 90.00 90.00 90.00
Space group P4/mmm (No. 123)
Symmetry-distinct sites (fractional):
1 Ta 0.000 0.000 0.000
2 Mn 0.000 0.500 0.500
3 Re 0.500 0.500 0.000
4 H 0.500 0.500 0.500

***

What should be chosen as the least stable of them? Choose (Q).

***

(P)
Compound: Mn3HRh
Source: Alexandria via LeMat-Bulk
Functional: GGA-PBE
Structure: optimized geometry

Computed properties:
Calculated density (g/cm³): 3.9
N(E_F) (states/eV/f.u.): 3.6
V (Å³ per cell): 114
Crystal system: cubic

Lattice parameters (Å, degrees): 4.850 4.850 4.850 90.00 90.00 90.00
Space group Pm-3m (No. 221)
Symmetry-distinct sites (fractional):
1 Mn 0.000 0.000 0.500
2 H 0.500 0.500 0.500
3 Rh 0.000 0.000 0.000

***

(Q)
Compound: Mn3HRh
Source: Alexandria via LeMat-Bulk
Functional: GGA-PBE
Structure: optimized geometry

Computed properties:
Calculated density (g/cm³): 9.1
N(E_F) (states/eV/f.u.): 5.4
V (Å³ per cell): 49
Crystal system: cubic

Lattice parameters (Å, degrees): 3.658 3.658 3.658 90.00 90.00 90.00
Space group Pm-3m (No. 221)
Symmetry-distinct sites (fractional):
1 Mn 0.000 0.000 0.500
2 H 0.000 0.000 0.000
3 Rh 0.500 0.500 0.500

***

What should be chosen as the least stable of them? Choose (P).